Below is a relaxed structure of PuZn9Ag2, with properties calculated at the PBE level.

a b c (Å): 9.017 9.017 9.017
angles (deg): 33.58 33.58 33.58
Fractional coordinates of all 12 atoms:
1 Pu 0.000 0.000 0.000
2 Zn 0.082 0.589 0.589
3 Zn 0.333 0.333 0.333
4 Zn 0.411 0.411 0.918
5 Zn 0.411 0.918 0.411
6 Zn 0.500 0.500 0.500
7 Zn 0.589 0.082 0.589
8 Zn 0.589 0.589 0.082
9 Zn 0.667 0.667 0.667
10 Zn 0.918 0.411 0.411
11 Ag 0.136 0.136 0.136
12 Ag 0.864 0.864 0.864

## Properties
- energy of formation (kJ/mol of atoms) = -6.4
- SG = R-3m (166)
- polymorph energy (0 for the lowest one) (meV/atom) = 0

Below is a relaxed structure of LiAlGe, with properties calculated at the PBE level.

a b c (Å): 4.055 4.055 6.725
angles (deg): 90.00 90.00 90.00
Fractional coordinates of all 6 atoms:
1 Li 0.250 0.250 0.144
2 Li 0.750 0.750 0.856
3 Al 0.250 0.750 0.500
4 Al 0.750 0.250 0.500
5 Ge 0.250 0.250 0.745
6 Ge 0.750 0.750 0.255

## Properties
- energy of formation (kJ/mol of atoms) = -19.6
- SG = P4/nmm (129)

Below is a relaxed structure of Tb4AlHgN, with properties calculated at the PBE level.

a b c (Å): 8.161 8.161 6.838
angles (deg): 90.00 90.00 130.47
Fractional coordinates of all 14 atoms:
1 Tb 0.000 0.500 0.000
2 Tb 0.000 0.500 0.500
3 Tb 0.081 0.919 0.750
4 Tb 0.417 0.583 0.750
5 Tb 0.500 0.000 0.000
6 Tb 0.500 0.000 0.500
7 Tb 0.583 0.417 0.250
8 Tb 0.919 0.081 0.250
9 Al 0.377 0.623 0.250
10 Al 0.623 0.377 0.750
11 Hg 0.119 0.881 0.250
12 Hg 0.881 0.119 0.750
13 N 0.252 0.748 0.750
14 N 0.748 0.252 0.250

## Properties
- energy relative to the elements, uncorrected (eV per atom) = -0.670
- SG = Cmcm (63)

Below is a relaxed structure of Hf5Pt2Rh2, with properties calculated at the PBE level.

a b c (Å): 8.356 8.356 6.763
angles (deg): 90.00 90.00 47.34
Fractional coordinates of all 18 atoms:
1 Hf 0.000 0.000 0.000
2 Hf 0.039 0.683 0.676
3 Hf 0.183 0.539 0.176
4 Hf 0.317 0.961 0.676
5 Hf 0.461 0.817 0.176
6 Hf 0.500 0.500 0.500
7 Hf 0.539 0.183 0.824
8 Hf 0.683 0.039 0.324
9 Hf 0.817 0.461 0.824
10 Hf 0.961 0.317 0.324
11 Pt 0.215 0.215 0.000
12 Pt 0.285 0.285 0.500
13 Pt 0.715 0.715 0.500
14 Pt 0.785 0.785 0.000
15 Rh 0.137 0.863 0.361
16 Rh 0.363 0.637 0.861
17 Rh 0.637 0.363 0.139
18 Rh 0.863 0.137 0.639

## Properties
- energy of formation (kJ/mol of atoms) = -82.2
- SG = Cmce (64)

Below is a relaxed structure of HoZrTe4, with properties calculated at the PBE level.

a b c (Å): 6.817 4.079 7.197
angles (deg): 90.00 90.52 90.00
Fractional coordinates of all 6 atoms:
1 Ho 0.000 0.000 0.000
2 Zr 0.000 0.500 0.500
3 Te 0.261 0.000 0.346
4 Te 0.267 0.500 0.819
5 Te 0.733 0.500 0.181
6 Te 0.739 0.000 0.654

## Properties
- energy relative to the elements, uncorrected (eV per atom) = -0.943
- SG = P2/m (10)
- polymorph energy (0 for the lowest one) (meV/atom) = 0

Below is a relaxed structure of LiRe2P, with properties calculated at the PBE level.

a b c (Å): 2.974 2.974 5.780
angles (deg): 90.00 90.00 90.00
Fractional coordinates of all 4 atoms:
1 Li 0.000 0.000 0.000
2 Re 0.000 0.000 0.453
3 Re 0.500 0.500 0.751
4 P 0.500 0.500 0.207

## Properties
- energy of formation (kJ/mol of atoms) = -3.8
- SG = P4mm (99)

Below is a relaxed structure of BaTcRu, with properties calculated at the PBE level.

a b c (Å): 3.030 3.030 7.845
angles (deg): 90.00 90.00 120.00
Fractional coordinates of all 3 atoms:
1 Ba 0.000 0.000 0.000
2 Tc 0.333 0.667 0.617
3 Ru 0.667 0.333 0.376

## Properties
- energy of formation (kJ/mol of atoms) = 108.2
- SG = P3m1 (156)
- polymorph energy (0 for the lowest one) (meV/atom) = 641

Below is a relaxed structure of B5C7, with properties calculated at the PBE level.

a b c (Å): 4.410 4.410 8.291
angles (deg): 117.09 117.09 32.83
Fractional coordinates of all 12 atoms:
1 B 0.000 0.000 0.000
2 B 0.521 0.521 0.163
3 B 0.553 0.553 0.632
4 B 0.728 0.728 0.890
5 B 0.836 0.836 0.760
6 C 0.040 0.040 0.487
7 C 0.191 0.191 0.997
8 C 0.206 0.206 0.460
9 C 0.349 0.349 0.192
10 C 0.370 0.370 0.652
11 C 0.702 0.702 0.348
12 C 0.862 0.862 0.309

## Properties
- energy of formation (kJ/mol of atoms) = 33.1
- SG = Cm (8)
- polymorph energy (0 for the lowest one) (meV/atom) = 85

Below is a relaxed structure of Re3AgBr, with properties calculated at the PBE level.

a b c (Å): 4.915 4.915 4.915
angles (deg): 90.00 90.00 90.00
Fractional coordinates of all 5 atoms:
1 Re 0.000 0.000 0.500
2 Re 0.000 0.500 0.000
3 Re 0.500 0.000 0.000
4 Ag 0.000 0.000 0.000
5 Br 0.500 0.500 0.500

## Properties
- energy relative to the elements, uncorrected (eV per atom) = 3.312
- SG = Pm-3m (221)
- polymorph energy (0 for the lowest one) (meV/atom) = 959

Below is a relaxed structure of Ag2OsRh, with properties calculated at the PBE level.

a b c (Å): 4.484 4.484 4.484
angles (deg): 60.00 60.00 60.00
Fractional coordinates of all 4 atoms:
1 Ag 0.250 0.250 0.250
2 Ag 0.750 0.750 0.750
3 Os 0.000 0.000 0.000
4 Rh 0.500 0.500 0.500

## Properties
- energy of formation (kJ/mol of atoms) = 87.8
- SG = Fm-3m (225)
- polymorph energy (0 for the lowest one) (meV/atom) = 645

Below is a relaxed structure of CdFeSi2, with properties calculated at the PBE level.

a b c (Å): 2.791 2.751 7.924
angles (deg): 90.00 90.06 90.00
Fractional coordinates of all 4 atoms:
1 Cd 0.000 0.000 0.000
2 Fe 0.500 0.000 0.500
3 Si 0.001 0.500 0.676
4 Si 0.999 0.500 0.324

## Properties
- energy relative to the elements, uncorrected (eV per atom) = 0.002
- SG = P2/m (10)

Below is a relaxed structure of LiSc2Os, with properties calculated at the PBE level.

a b c (Å): 3.172 4.158 5.583
angles (deg): 90.00 90.00 90.00
Fractional coordinates of all 4 atoms:
1 Li 0.000 0.000 0.000
2 Sc 0.000 0.000 0.441
3 Sc 0.500 0.500 0.773
4 Os 0.500 0.500 0.288

## Properties
- energy of formation (kJ/mol of atoms) = 4.5
- SG = Pmm2 (25)
- polymorph energy (0 for the lowest one) (meV/atom) = 378